1.
# PBE CeBOs2C, relaxed
# ΔH_f (0 K) = -1.13 eV per formula unit
# Electronic total energy = -9.08 eV/atom
data_CeBOs2C
_chemical_formula_sum 'Ce4 B4 Os8 C4'
_cell_length_a 3.7177
_cell_length_b 10.7838
_cell_length_c 7.0299
_cell_angle_alpha 90.00
_cell_angle_beta 90.00
_cell_angle_gamma 90.00
_symmetry_space_group_name_H-M 'C m c m'
_symmetry_Int_Tables_number 63
_symmetry_space_group_name_Hall '-C 2c 2'
loop_
_atom_site_label
_atom_site_fract_x
_atom_site_fract_y
_atom_site_fract_z
Ce1 0.0000 0.0487 0.2500
B1 0.0000 0.2284 0.7500
Os1 0.0000 0.3262 0.0640
C1 0.0000 0.5000 0.0000

=====

2.
# PBE CePa2BC4, relaxed
# ΔH_f (0 K) = -2.17 eV per formula unit
# Electronic total energy = -8.83 eV/atom
data_CePa2BC4
_chemical_formula_sum 'Ce4 Pa8 B4 C16'
_cell_length_a 3.6924
_cell_length_b 12.0950
_cell_length_c 10.8415
_cell_angle_alpha 90.00
_cell_angle_beta 90.00
_cell_angle_gamma 90.00
_symmetry_space_group_name_H-M 'C m c m'
_symmetry_Int_Tables_number 63
_symmetry_space_group_name_Hall '-C 2c 2'
loop_
_atom_site_label
_atom_site_fract_x
_atom_site_fract_y
_atom_site_fract_z
Ce1 0.0000 0.0925 0.2500
Pa1 0.0000 0.3715 0.0681
B1 0.0000 0.2336 0.7500
C1 0.0000 0.0000 0.0000
C2 0.0000 0.2638 0.6196
C3 0.0000 0.4662 0.2500

=====

3.
# PBE CeB2Pd2C, relaxed
# ΔH_f (0 K) = -2.92 eV per formula unit
# Electronic total energy = -6.97 eV/atom
data_CeB2Pd2C
_chemical_formula_sum 'Ce2 B4 Pd4 C2'
_cell_length_a 3.8402
_cell_length_b 3.8402
_cell_length_c 10.6933
_cell_angle_alpha 90.00
_cell_angle_beta 90.00
_cell_angle_gamma 90.00
_symmetry_space_group_name_H-M 'I 4/m m m'
_symmetry_Int_Tables_number 139
_symmetry_space_group_name_Hall '-I 4 2'
loop_
_atom_site_label
_atom_site_fract_x
_atom_site_fract_y
_atom_site_fract_z
Ce1 0.0000 0.0000 0.0000
B1 0.0000 0.0000 0.3618
Pd1 0.0000 0.5000 0.2500
C1 0.0000 0.0000 0.5000

=====

4.
# PBE CeRe2BC, relaxed
# ΔH_f (0 K) = -1.51 eV per formula unit
# Electronic total energy = -9.65 eV/atom
data_CeRe2BC
_chemical_formula_sum 'Ce4 Re8 B4 C4'
_cell_length_a 3.6147
_cell_length_b 10.9126
_cell_length_c 7.2656
_cell_angle_alpha 90.00
_cell_angle_beta 90.00
_cell_angle_gamma 90.00
_symmetry_space_group_name_H-M 'C m c m'
_symmetry_Int_Tables_number 63
_symmetry_space_group_name_Hall '-C 2c 2'
loop_
_atom_site_label
_atom_site_fract_x
_atom_site_fract_y
_atom_site_fract_z
Ce1 0.0000 0.0402 0.2500
Re1 0.0000 0.3226 0.0639
B1 0.0000 0.2380 0.7500
C1 0.0000 0.5000 0.0000

=====

5.
# PBE Ce2Re2B2C, relaxed
# ΔH_f (0 K) = -2.30 eV per formula unit
# Electronic total energy = -8.81 eV/atom
data_Ce2Re2B2C
_chemical_formula_sum 'Ce4 Re4 B4 C2'
_cell_length_a 11.1339
_cell_length_b 3.4814
_cell_length_c 6.7889
_cell_angle_alpha 90.00
_cell_angle_beta 123.38
_cell_angle_gamma 90.00
_symmetry_space_group_name_H-M 'C 1 2/m 1'
_symmetry_Int_Tables_number 12
loop_
_symmetry_equiv_pos_as_xyz
'x,y,z'
'-x,-y,-z'
'-x,y,-z'
'x,-y,z'
'x+1/2,y+1/2,z'
'-x+1/2,-y+1/2,-z'
'-x+1/2,y+1/2,-z'
'x+1/2,-y+1/2,z'
loop_
_atom_site_label
_atom_site_fract_x
_atom_site_fract_y
_atom_site_fract_z
Ce1 0.0640 0.0000 0.3340
Re1 0.2003 0.5000 0.0930
B1 0.1697 0.5000 0.7322
C1 0.0000 0.5000 0.0000

=====

6.
# PBE CeTa2BC4, relaxed
# ΔH_f (0 K) = -2.60 eV per formula unit
# Electronic total energy = -9.48 eV/atom
data_CeTa2BC4
_chemical_formula_sum 'Ce4 Ta8 B4 C16'
_cell_length_a 3.1797
_cell_length_b 10.6377
_cell_length_c 10.6727
_cell_angle_alpha 90.00
_cell_angle_beta 90.00
_cell_angle_gamma 90.00
_symmetry_space_group_name_H-M 'C m c m'
_symmetry_Int_Tables_number 63
_symmetry_space_group_name_Hall '-C 2c 2'
loop_
_atom_site_label
_atom_site_fract_x
_atom_site_fract_y
_atom_site_fract_z
Ce1 0.0000 0.0959 0.2500
Ta1 0.0000 0.3664 0.0481
B1 0.0000 0.1775 0.7500
C1 0.0000 0.0000 0.0000
C2 0.0000 0.2666 0.6238
C3 0.0000 0.4129 0.2500

=====

7.
# PBE Ce2Tc2BC2, relaxed
# ΔH_f (0 K) = -1.01 eV per formula unit
# Electronic total energy = -8.39 eV/atom
data_Ce2Tc2BC2
_chemical_formula_sum 'Ce4 Tc4 B2 C4'
_cell_length_a 11.2215
_cell_length_b 3.3593
_cell_length_c 6.7712
_cell_angle_alpha 90.00
_cell_angle_beta 123.56
_cell_angle_gamma 90.00
_symmetry_space_group_name_H-M 'C 1 2/m 1'
_symmetry_Int_Tables_number 12
loop_
_symmetry_equiv_pos_as_xyz
'x,y,z'
'-x,-y,-z'
'-x,y,-z'
'x,-y,z'
'x+1/2,y+1/2,z'
'-x+1/2,-y+1/2,-z'
'-x+1/2,y+1/2,-z'
'x+1/2,-y+1/2,z'
loop_
_atom_site_label
_atom_site_fract_x
_atom_site_fract_y
_atom_site_fract_z
Ce1 0.0600 0.0000 0.3454
Tc1 0.2065 0.5000 0.1011
B1 0.0000 0.5000 0.0000
C1 0.1699 0.5000 0.7437

=====

8.
# PBE Ce2Tc2B2C, relaxed
# ΔH_f (0 K) = -2.27 eV per formula unit
# Electronic total energy = -8.21 eV/atom
data_Ce2Tc2B2C
_chemical_formula_sum 'Ce4 Tc4 B4 C2'
_cell_length_a 11.1521
_cell_length_b 3.4696
_cell_length_c 6.7682
_cell_angle_alpha 90.00
_cell_angle_beta 123.66
_cell_angle_gamma 90.00
_symmetry_space_group_name_H-M 'C 1 2/m 1'
_symmetry_Int_Tables_number 12
loop_
_symmetry_equiv_pos_as_xyz
'x,y,z'
'-x,-y,-z'
'-x,y,-z'
'x,-y,z'
'x+1/2,y+1/2,z'
'-x+1/2,-y+1/2,-z'
'-x+1/2,y+1/2,-z'
'x+1/2,-y+1/2,z'
loop_
_atom_site_label
_atom_site_fract_x
_atom_site_fract_y
_atom_site_fract_z
Ce1 0.0613 0.0000 0.3323
Tc1 0.1997 0.5000 0.0924
B1 0.1704 0.5000 0.7350
C1 0.0000 0.5000 0.0000

=====

9.
# PBE CeTc2BC, relaxed
# ΔH_f (0 K) = -0.47 eV per formula unit
# Electronic total energy = -8.61 eV/atom
data_CeTc2BC
_chemical_formula_sum 'Ce4 Tc8 B4 C4'
_cell_length_a 5.7410
_cell_length_b 9.5083
_cell_length_c 5.7413
_cell_angle_alpha 90.00
_cell_angle_beta 90.00
_cell_angle_gamma 90.00
_symmetry_space_group_name_H-M 'C m c m'
_symmetry_Int_Tables_number 63
_symmetry_space_group_name_Hall '-C 2c 2'
loop_
_atom_site_label
_atom_site_fract_x
_atom_site_fract_y
_atom_site_fract_z
Ce1 0.0000 0.2445 0.2500
Tc1 0.2449 0.5000 0.0000
B1 0.0000 0.0730 0.7500
C1 0.0000 0.4489 0.7500

=====

10.
# PBE CeTh2BC2, relaxed
# ΔH_f (0 K) = -1.22 eV per formula unit
# Electronic total energy = -7.85 eV/atom
data_CeTh2BC2
_chemical_formula_sum 'Ce2 Th4 B2 C4'
_cell_length_a 5.5855
_cell_length_b 10.9068
_cell_length_c 3.6913
_cell_angle_alpha 90.00
_cell_angle_beta 90.00
_cell_angle_gamma 90.00
_symmetry_space_group_name_H-M 'P n n m'
_symmetry_Int_Tables_number 58
loop_
_symmetry_equiv_pos_as_xyz
'x,y,z'
'-x,-y,-z'
'-x,-y,z'
'x,y,-z'
'x+1/2,-y+1/2,-z+1/2'
'-x+1/2,y+1/2,z+1/2'
'-x+1/2,y+1/2,-z+1/2'
'x+1/2,-y+1/2,z+1/2'
loop_
_atom_site_label
_atom_site_fract_x
_atom_site_fract_y
_atom_site_fract_z
Ce1 0.0000 0.0000 0.0000
Th1 0.0634 0.2942 0.5000
B1 0.0000 0.5000 0.0000
C1 0.1903 0.5969 0.0000

=====

11.
# PBE BC3Cl, relaxed
# Formation energy from raw total energies = 2833 meV per atom
# Polymorph energy (0 for the lowest one) = 0.0 meV/atom
# Electronic total energy = -4.41 eV/atom
data_BC3Cl
_chemical_formula_sum 'B1 C3 Cl1'
_cell_length_a 3.5754
_cell_length_b 3.5754
_cell_length_c 3.5754
_cell_angle_alpha 90.00
_cell_angle_beta 90.00
_cell_angle_gamma 90.00
_symmetry_space_group_name_H-M 'P m -3 m'
_symmetry_Int_Tables_number 221
_symmetry_space_group_name_Hall '-P 4 2 3'
loop_
_atom_site_label
_atom_site_fract_x
_atom_site_fract_y
_atom_site_fract_z
B1 0.0000 0.0000 0.0000
C1 0.0000 0.0000 0.5000
Cl1 0.5000 0.5000 0.5000

=====

12.
# PBE B3CCl, relaxed
# Formation energy from raw total energies = 2096 meV per atom
# Polymorph energy (0 for the lowest one) = 0.0 meV/atom
# Electronic total energy = -4.12 eV/atom
data_B3CCl
_chemical_formula_sum 'B3 C1 Cl1'
_cell_length_a 3.5842
_cell_length_b 3.5842
_cell_length_c 3.5842
_cell_angle_alpha 90.00
_cell_angle_beta 90.00
_cell_angle_gamma 90.00
_symmetry_space_group_name_H-M 'P m -3 m'
_symmetry_Int_Tables_number 221
_symmetry_space_group_name_Hall '-P 4 2 3'
loop_
_atom_site_label
_atom_site_fract_x
_atom_site_fract_y
_atom_site_fract_z
B1 0.0000 0.0000 0.5000
C1 0.0000 0.0000 0.0000
Cl1 0.5000 0.5000 0.5000

=====

Calculated volume (computed, Å³ per atom): 14.1, 15.1, 13.1, 14.3, 15.7, 11.3, 15.2, 15.6, 15.7, 18.7, 9.1, 9.2